1.
First-principles (GGA-PBE) data for a relaxed LiGa8Co5 crystal, as listed in Alexandria.

Calculated values
final energy	-63.520	eV/cell
size of the total moment	0.000	μB per formula unit
SG	No. 82
DOS(E_F)	7.052	states/eV/f.u.
calculated formation energy	-1.86	eV/f.u.

Unit cell a=6.2848 b=6.2848 c=6.2848 alpha=111.44 beta=111.44 gamma=105.60
Closest atoms and distances in Å follow each position.
Atoms (fractional coordinates):
Li: 0.0000 0.0000 0.0000  4 Ga 2.50
Ga: 0.0715 0.3173 0.4337  5 Co 2.44-2.55, 1 Li 2.50, 2 Ga 2.61-2.63
Ga: 0.2630 0.1659 0.7601  5 Co 2.44-2.67, 2 Ga 2.59-2.61
Ga: 0.3622 0.9285 0.2458  5 Co 2.44-2.55, 1 Li 2.50, 2 Ga 2.61-2.63
Ga: 0.4058 0.5029 0.2399  5 Co 2.44-2.67, 2 Ga 2.59-2.61
Ga: 0.4971 0.7370 0.9029  5 Co 2.44-2.67, 2 Ga 2.59-2.61
Ga: 0.6827 0.1164 0.7542  5 Co 2.44-2.55, 1 Li 2.50, 2 Ga 2.61-2.63
Ga: 0.8341 0.5942 0.0971  5 Co 2.44-2.67, 2 Ga 2.59-2.61
Ga: 0.8836 0.6378 0.5663  5 Co 2.44-2.55, 1 Li 2.50, 2 Ga 2.61-2.63
Co: 0.0552 0.4769 0.8603  8 Ga 2.44-2.67
Co: 0.2500 0.7500 0.5000  8 Ga 2.45-2.48
Co: 0.5231 0.3835 0.5784  8 Ga 2.44-2.67
Co: 0.6165 0.1949 0.1397  8 Ga 2.44-2.67
Co: 0.8051 0.9448 0.4216  8 Ga 2.44-2.67

2.
First-principles (GGA-PBE) data for a relaxed Li2Ga6Co crystal, as listed in Alexandria.

Calculated values
final energy	-30.878	eV/cell
size of the total moment	0.002	μB per formula unit
SG	No. 10
DOS(E_F)	4.905	states/eV/f.u.
calculated formation energy	-1.78	eV/f.u.

Unit cell a=5.8953 b=4.1096 c=6.7353 alpha=90.00 beta=115.92 gamma=90.00
Closest atoms and distances in Å follow each position.
Atoms (fractional coordinates):
Li: 0.2162 0.0000 0.4324  10 Ga 2.77-3.03, 2 Li 3.06
Li: 0.7838 0.0000 0.5676  10 Ga 2.77-3.03, 2 Li 3.06
Ga: 0.1366 0.5000 0.7102  1 Co 2.42, 2 Ga 2.57-2.58
Ga: 0.2575 0.0000 0.0010  2 Co 2.55, 4 Ga 2.70-2.71
Ga: 0.4256 0.5000 0.2904  1 Co 2.41, 2 Ga 2.56-2.58
Ga: 0.5744 0.5000 0.7096  1 Co 2.41, 2 Ga 2.56-2.58
Ga: 0.7425 0.0000 0.9990  2 Co 2.55, 4 Ga 2.70-2.71
Ga: 0.8634 0.5000 0.2898  1 Co 2.42, 2 Ga 2.57-2.58
Co: 0.0000 0.5000 0.0000  8 Ga 2.41-2.55

3.
First-principles (GGA-PBE) data for a relaxed Li3Ga4Co crystal, as listed in Alexandria.

Calculated values
final energy	-26.979	eV/cell
size of the total moment	0.000	μB per formula unit
SG	No. 123
DOS(E_F)	3.229	states/eV/f.u.
calculated formation energy	-2.02	eV/f.u.

Unit cell a=2.7621 b=2.7621 c=15.5761 alpha=90.00 beta=90.00 gamma=90.00
Closest atoms and distances in Å follow each position.
Atoms (fractional coordinates):
Li: 0.0000 0.0000 0.0000  4 Li 2.76, 8 Ga 2.83
Li: 0.0000 0.0000 0.2668  4 Li 2.76, 8 Ga 2.82-2.87
Li: 0.0000 0.0000 0.7332  4 Li 2.76, 8 Ga 2.82-2.87
Ga: 0.5000 0.5000 0.1318  4 Ga 2.76, 8 Li 2.83-2.87
Ga: 0.5000 0.5000 0.3973  4 Co 2.52, 4 Ga 2.76, 4 Li 2.82
Ga: 0.5000 0.5000 0.6027  4 Co 2.52, 4 Ga 2.76, 4 Li 2.82
Ga: 0.5000 0.5000 0.8682  4 Ga 2.76, 8 Li 2.83-2.87
Co: 0.0000 0.0000 0.5000  8 Ga 2.52, 4 Co 2.76

4.
First-principles (GGA-PBE) data for a relaxed LiGa3Co2 crystal, as listed in Alexandria.

Calculated values
final energy	-53.293	eV/cell
size of the total moment	0.000	μB per formula unit
excess energy over the best structure of this formula in the dataset	27	meV/atom
SG	No. 63
DOS(E_F)	3.150	states/eV/f.u.
calculated formation energy	-1.44	eV/f.u.

Unit cell a=5.9343 b=5.9343 c=5.2716 alpha=90.00 beta=90.00 gamma=84.13
Closest atoms and distances in Å follow each position.
Atoms (fractional coordinates):
Li: 0.0655 0.9345 0.7500  4 Co 2.81, 2 Li 2.83, 4 Ga 2.95-3.09
Li: 0.9345 0.0655 0.2500  4 Co 2.81, 2 Li 2.83, 4 Ga 2.95-3.09
Ga: 0.0289 0.5443 0.2500  4 Co 2.40-2.44
Ga: 0.4557 0.9711 0.2500  4 Co 2.40-2.44
Ga: 0.4766 0.5234 0.7500  4 Co 2.39, 2 Ga 2.66
Ga: 0.5234 0.4766 0.2500  4 Co 2.39, 2 Ga 2.66
Ga: 0.5443 0.0289 0.7500  4 Co 2.40-2.44
Ga: 0.9711 0.4557 0.7500  4 Co 2.40-2.44
Co: 0.2751 0.2751 0.0000  6 Ga 2.39-2.44, 2 Co 2.64
Co: 0.2751 0.2751 0.5000  6 Ga 2.39-2.44, 2 Co 2.64
Co: 0.7249 0.7249 0.0000  6 Ga 2.39-2.44, 2 Co 2.64
Co: 0.7249 0.7249 0.5000  6 Ga 2.39-2.44, 2 Co 2.64

5.
First-principles (GGA-PBE) data for a relaxed Li23Ga6Co crystal, as listed in Alexandria.

Calculated values
final energy	-72.178	eV/cell
size of the total moment	1.111	μB per formula unit
SG	No. 225
DOS(E_F)	16.407	states/eV/f.u.
calculated formation energy	-2.89	eV/f.u.

Unit cell a=8.9384 b=8.9384 c=8.9384 alpha=60.00 beta=60.00 gamma=60.00
Closest atoms and distances in Å follow each position.
Atoms (fractional coordinates):
Li: 0.0000 0.0000 0.0000  8 Li 2.72
Li: 0.0000 0.0000 0.5000  8 Li 2.74-2.79
Li: 0.0000 0.5000 0.0000  8 Li 2.74-2.79
Li: 0.0000 0.5000 0.5000  8 Li 2.74-2.79
Li: 0.1244 0.1244 0.1244  4 Li 2.72-2.74, 3 Ga 2.76
Li: 0.1244 0.1244 0.6267  4 Li 2.72-2.74, 3 Ga 2.76
Li: 0.1244 0.6267 0.1244  4 Li 2.72-2.74, 3 Ga 2.76
Li: 0.1456 0.6181 0.6181  1 Co 2.59, 3 Ga 2.66, 3 Li 2.79
Li: 0.3733 0.8756 0.8756  4 Li 2.72-2.74, 3 Ga 2.76
Li: 0.3819 0.3819 0.3819  1 Co 2.59, 3 Ga 2.66, 3 Li 2.79
Li: 0.3819 0.3819 0.8544  1 Co 2.59, 3 Ga 2.66, 3 Li 2.79
Li: 0.3819 0.8544 0.3819  1 Co 2.59, 3 Ga 2.66, 3 Li 2.79
Li: 0.5000 0.0000 0.0000  8 Li 2.74-2.79
Li: 0.5000 0.0000 0.5000  8 Li 2.74-2.79
Li: 0.5000 0.5000 0.0000  8 Li 2.74-2.79
Li: 0.6181 0.1456 0.6181  1 Co 2.59, 3 Ga 2.66, 3 Li 2.79
Li: 0.6181 0.6181 0.1456  1 Co 2.59, 3 Ga 2.66, 3 Li 2.79
Li: 0.6181 0.6181 0.6181  1 Co 2.59, 3 Ga 2.66, 3 Li 2.79
Li: 0.6267 0.1244 0.1244  4 Li 2.72-2.74, 3 Ga 2.76
Li: 0.8544 0.3819 0.3819  1 Co 2.59, 3 Ga 2.66, 3 Li 2.79
Li: 0.8756 0.3733 0.8756  4 Li 2.72-2.74, 3 Ga 2.76
Li: 0.8756 0.8756 0.3733  4 Li 2.72-2.74, 3 Ga 2.76
Li: 0.8756 0.8756 0.8756  4 Li 2.72-2.74, 3 Ga 2.76
Ga: 0.2535 0.2535 0.7465  8 Li 2.66-2.76
Ga: 0.2535 0.7465 0.2535  8 Li 2.66-2.76
Ga: 0.2535 0.7465 0.7465  8 Li 2.66-2.76
Ga: 0.7465 0.2535 0.2535  8 Li 2.66-2.76
Ga: 0.7465 0.2535 0.7465  8 Li 2.66-2.76
Ga: 0.7465 0.7465 0.2535  8 Li 2.66-2.76
Co: 0.5000 0.5000 0.5000  8 Li 2.59

6.
First-principles (GGA-PBE) data for a relaxed LiGa4Co crystal, as listed in Alexandria.

Calculated values
final energy	-22.358	eV/cell
size of the total moment	0.000	μB per formula unit
SG	No. 123
DOS(E_F)	2.797	states/eV/f.u.
calculated formation energy	-1.23	eV/f.u.

Unit cell a=4.2472 b=4.2472 c=5.3176 alpha=90.00 beta=90.00 gamma=90.00
Closest atoms and distances in Å follow each position.
Atoms (fractional coordinates):
Li: 0.0000 0.0000 0.0000  8 Ga 2.52, 2 Co 2.66
Ga: 0.0000 0.5000 0.2559  2 Co 2.49, 2 Li 2.52, 2 Ga 2.60-2.72
Ga: 0.0000 0.5000 0.7441  2 Co 2.49, 2 Li 2.52, 2 Ga 2.60-2.72
Ga: 0.5000 0.0000 0.2559  2 Co 2.49, 2 Li 2.52, 2 Ga 2.60-2.72
Ga: 0.5000 0.0000 0.7441  2 Co 2.49, 2 Li 2.52, 2 Ga 2.60-2.72
Co: 0.0000 0.0000 0.5000  8 Ga 2.49, 2 Li 2.66

Number 3 is which compound?
Li3Ga4Co